This record from Alexandria describes an optimized crystal structure of BaTaRe2C. The functional is PBE.

Computed properties:
Energy (eV/atom): -7.68
Symmetry: P4/mmm
M_tot (μB per cell): 2.93

```
BaTaRe2C
1.0
5.0639 0.0000 0.0000
0.0000 5.0639 0.0000
0.0000 0.0000 4.3990
Ba Ta Re C
1 1 2 1
direct
0.0000 0.0000 0.0000
0.5000 0.5000 0.5000
0.0000 0.5000 0.5000
0.5000 0.0000 0.5000
0.5000 0.5000 0.0000
```